[1]
Entry from the Alexandria database: LaPr4In after structural relaxation (PBE).

Its symmetry is No. 65. For the energy of formation, the calculation gives -0.16 eV/atom. The calculation puts the volume at 33.60 Å³/atom. As for the excess energy over the best structure of this formula in the dataset: 0.0 kJ per mole of atoms.

Lattice parameters (Å, degrees): 8.2853 8.2853 5.0528 90.00 90.00 144.47
Atoms (fractional coordinates):
La  0.0000  0.0000  0.0000
Pr  0.1633  0.8367  0.5000
Pr  0.3378  0.6622  0.0000
Pr  0.6622  0.3378  0.0000
Pr  0.8367  0.1633  0.5000
In  0.5000  0.5000  0.5000



[2]
Entry from the Alexandria database: La7PrIn3 after structural relaxation (PBE).

Its symmetry is No. 12. For the energy of formation, the calculation gives -0.12 eV/atom. The calculation puts the volume at 34.79 Å³/atom.

Lattice parameters (Å, degrees): 8.5705 8.5705 6.0644 110.66 110.66 92.53
Atoms (fractional coordinates):
La  0.0000  0.0000  0.0000
La  0.1080  0.5451  0.3250
La  0.3347  0.3347  0.8350
La  0.4549  0.8920  0.6750
La  0.5451  0.1080  0.3250
La  0.6653  0.6653  0.1650
La  0.8920  0.4549  0.6750
Pr  0.0000  0.0000  0.5000
In  0.2638  0.7362  0.0000
In  0.5000  0.5000  0.5000
In  0.7362  0.2638  0.0000



[3]
Entry from the Alexandria database: LaPr3In2 after structural relaxation (PBE).

Its symmetry is No. 12. For the energy of formation, the calculation gives -0.26 eV/atom. The calculation puts the volume at 32.62 Å³/atom. As for the excess energy over the best structure of this formula in the dataset: 8.5 kJ per mole of atoms.

Lattice parameters (Å, degrees): 8.9594 8.9594 9.5453 118.07 118.07 36.01
Atoms (fractional coordinates):
La  0.1296  0.1296  0.1743
La  0.8704  0.8704  0.8257
Pr  0.0595  0.0595  0.7142
Pr  0.3055  0.3055  0.9978
Pr  0.3813  0.3813  0.4545
Pr  0.6187  0.6187  0.5455
Pr  0.6945  0.6945  0.0022
Pr  0.9405  0.9405  0.2858
In  0.2300  0.2300  0.5923
In  0.4818  0.4818  0.8348
In  0.5182  0.5182  0.1652
In  0.7700  0.7700  0.4077



[4]
Entry from the Alexandria database: La2Pr4In after structural relaxation (PBE).

Its symmetry is No. 111. For the energy of formation, the calculation gives 0.36 eV/atom. The calculation puts the volume at 38.64 Å³/atom. As for the excess energy over the best structure of this formula in the dataset: 32.4 kJ per mole of atoms.

Lattice parameters (Å, degrees): 4.9160 4.9160 11.1913 90.00 90.00 90.00
Atoms (fractional coordinates):
La  0.0000  0.5000  0.0000
La  0.5000  0.0000  0.0000
Pr  0.2414  0.2414  0.7282
Pr  0.2414  0.7586  0.2718
Pr  0.7586  0.2414  0.2718
Pr  0.7586  0.7586  0.7282
In  0.5000  0.5000  0.5000



[5]
Entry from the Alexandria database: La4Pr4In after structural relaxation (PBE).

Its symmetry is No. 1. For the energy of formation, the calculation gives -0.07 eV/atom. The calculation puts the volume at 35.53 Å³/atom. As for the excess energy over the best structure of this formula in the dataset: 0.9 kJ per mole of atoms.

Lattice parameters (Å, degrees): 5.8775 6.6660 8.9490 74.74 71.56 89.61
Atoms (fractional coordinates):
La  0.0000  0.0000  0.0000
La  0.1017  0.5529  0.7925
La  0.5129  0.7079  0.9731
La  0.7553  0.8477  0.4833
Pr  0.2159  0.1453  0.5623
Pr  0.4151  0.1309  0.1721
Pr  0.6316  0.2700  0.7369
Pr  0.8604  0.4314  0.2739
In  0.3067  0.6420  0.3804



[6]
Entry from the Alexandria database: La2Pr4In after structural relaxation (PBE).

Its symmetry is No. 65. For the energy of formation, the calculation gives 0.03 eV/atom. The calculation puts the volume at 35.93 Å³/atom. As for the excess energy over the best structure of this formula in the dataset: 0.0 kJ per mole of atoms.

Lattice parameters (Å, degrees): 6.9561 6.9561 5.3539 90.00 90.00 103.88
Atoms (fractional coordinates):
La  0.1949  0.8051  0.0000
La  0.8051  0.1949  0.0000
Pr  0.0000  0.5000  0.5000
Pr  0.3044  0.3044  0.0000
Pr  0.5000  0.0000  0.5000
Pr  0.6956  0.6956  0.0000
In  0.0000  0.0000  0.5000



[7]
Entry from the Alexandria database: La3Pr5In2 after structural relaxation (PBE).

Its symmetry is No. 72. For the energy of formation, the calculation gives 0.01 eV/atom. The calculation puts the volume at 35.75 Å³/atom.

Lattice parameters (Å, degrees): 10.8606 10.8606 10.8606 103.45 87.89 143.53
Atoms (fractional coordinates):
La  0.2352  0.1275  0.3627
La  0.2500  0.2500  0.0000
La  0.2648  0.6275  0.8923
La  0.7352  0.3725  0.1077
La  0.7500  0.7500  0.0000
La  0.7648  0.8725  0.6373
Pr  0.1622  0.3960  0.5581
Pr  0.2500  0.5021  0.2521
Pr  0.2500  0.7500  0.5000
Pr  0.2500  0.9979  0.7479
Pr  0.3378  0.8960  0.2338
Pr  0.6622  0.1040  0.7662
Pr  0.7500  0.0021  0.2521
Pr  0.7500  0.2500  0.5000
Pr  0.7500  0.4979  0.7479
Pr  0.8378  0.6040  0.4419
In  0.1456  0.8672  0.0128
In  0.3544  0.3672  0.7217
In  0.6456  0.6328  0.2783
In  0.8544  0.1328  0.9872



[8]
Entry from the Alexandria database: La8Pr3In after structural relaxation (PBE).

Its symmetry is No. 121. For the energy of formation, the calculation gives 0.33 eV/atom. The calculation puts the volume at 38.31 Å³/atom.

Lattice parameters (Å, degrees): 8.5985 8.5985 8.5985 118.41 118.41 92.78
Atoms (fractional coordinates):
La  0.1221  0.1221  0.7453
La  0.2461  0.7394  0.0000
La  0.2606  0.2606  0.5068
La  0.3768  0.3768  0.2547
La  0.6232  0.8779  0.0000
La  0.7394  0.2461  0.0000
La  0.7539  0.7539  0.4932
La  0.8779  0.6232  0.0000
Pr  0.2500  0.7500  0.5000
Pr  0.5000  0.5000  0.0000
Pr  0.7500  0.2500  0.5000
In  0.0000  0.0000  0.0000



[9]
Entry from the Alexandria database: LaPrIn6 after structural relaxation (PBE).

Its symmetry is No. 187. For the energy of formation, the calculation gives -0.45 eV/atom. The calculation puts the volume at 26.96 Å³/atom. As for the excess energy over the best structure of this formula in the dataset: 3.2 kJ per mole of atoms.

Lattice parameters (Å, degrees): 6.9016 6.9016 5.2282 90.00 90.00 120.00
Atoms (fractional coordinates):
La  0.0000  0.0000  0.0000
Pr  0.6667  0.3333  0.5000
In  0.0214  0.5107  0.0000
In  0.1774  0.3549  0.5000
In  0.1774  0.8226  0.5000
In  0.4893  0.5107  0.0000
In  0.4893  0.9786  0.0000
In  0.6451  0.8226  0.5000



[10]
Entry from the Alexandria database: La2PrIn4 after structural relaxation (PBE).

Its symmetry is No. 139. For the energy of formation, the calculation gives -0.32 eV/atom. The calculation puts the volume at 32.36 Å³/atom.

Lattice parameters (Å, degrees): 8.5343 8.5343 8.5343 142.72 142.72 53.74
Atoms (fractional coordinates):
La  0.2439  0.2439  0.0000
La  0.7561  0.7561  0.0000
Pr  0.5000  0.5000  0.0000
In  0.1114  0.6114  0.5000
In  0.3886  0.8886  0.5000
In  0.6114  0.1114  0.5000
In  0.8886  0.3886  0.5000



[11]
Entry from the Alexandria database: LaPrIn4 after structural relaxation (PBE).

Its symmetry is No. 216. For the energy of formation, the calculation gives -0.46 eV/atom. The calculation puts the volume at 27.27 Å³/atom. As for the excess energy over the best structure of this formula in the dataset: 3.7 kJ per mole of atoms.

Lattice parameters (Å, degrees): 6.1392 6.1392 6.1392 60.00 60.00 60.00
Atoms (fractional coordinates):
La  0.0000  0.0000  0.0000
Pr  0.2500  0.2500  0.2500
In  0.1250  0.6250  0.6250
In  0.6250  0.1250  0.6250
In  0.6250  0.6250  0.1250
In  0.6250  0.6250  0.6250



[12]
Entry from the Alexandria database: La3PrIn3 after structural relaxation (PBE).

Its symmetry is No. 65. For the energy of formation, the calculation gives -0.36 eV/atom. The calculation puts the volume at 33.24 Å³/atom. As for the excess energy over the best structure of this formula in the dataset: 0.6 kJ per mole of atoms.

Lattice parameters (Å, degrees): 7.8949 7.8949 7.4666 90.00 90.00 90.60
Atoms (fractional coordinates):
La  0.2361  0.2361  0.5000
La  0.2419  0.2419  0.0000
La  0.2478  0.7522  0.0000
La  0.7522  0.2478  0.0000
La  0.7581  0.7581  0.0000
La  0.7639  0.7639  0.5000
Pr  0.2428  0.7572  0.5000
Pr  0.7572  0.2428  0.5000
In  0.0000  0.5000  0.2545
In  0.0000  0.5000  0.7455
In  0.5000  0.0000  0.2545
In  0.5000  0.0000  0.7455
In  0.5000  0.5000  0.2612
In  0.5000  0.5000  0.7388



[13]
Entry from the Alexandria database: LaPrIn2 after structural relaxation (PBE).

Its symmetry is No. 225. For the energy of formation, the calculation gives -0.50 eV/atom. The calculation puts the volume at 30.32 Å³/atom. As for the excess energy over the best structure of this formula in the dataset: 0.3 kJ per mole of atoms.

Lattice parameters (Å, degrees): 5.5560 5.5560 5.5560 60.00 60.00 60.00
Atoms (fractional coordinates):
La  0.0000  0.0000  0.0000
Pr  0.5000  0.5000  0.5000
In  0.2500  0.2500  0.2500
In  0.7500  0.7500  0.7500



[14]
Entry from the Alexandria database: La3Pr2In after structural relaxation (PBE).

Its symmetry is No. 26. For the energy of formation, the calculation gives -0.14 eV/atom. The calculation puts the volume at 34.40 Å³/atom. As for the excess energy over the best structure of this formula in the dataset: 2.4 kJ per mole of atoms.

Lattice parameters (Å, degrees): 5.7829 10.7682 6.6298 90.00 90.00 90.00
Atoms (fractional coordinates):
La  0.0000  0.0478  0.0000
La  0.0000  0.2655  0.3813
La  0.0000  0.7345  0.8813
La  0.0000  0.9522  0.5000
La  0.5000  0.4287  0.2222
La  0.5000  0.5713  0.7222
Pr  0.0000  0.4005  0.9030
Pr  0.0000  0.5995  0.4030
Pr  0.5000  0.2084  0.7529
Pr  0.5000  0.7916  0.2529
In  0.5000  0.1047  0.2715
In  0.5000  0.8953  0.7715



[15]
Entry from the Alexandria database: LaPr4In after structural relaxation (PBE).

Its symmetry is No. 12. For the energy of formation, the calculation gives 0.02 eV/atom. The calculation puts the volume at 36.12 Å³/atom. As for the excess energy over the best structure of this formula in the dataset: 16.7 kJ per mole of atoms.

Lattice parameters (Å, degrees): 8.8949 8.8949 6.5357 104.68 104.68 110.61
Atoms (fractional coordinates):
La  0.1396  0.1396  0.4564
La  0.8604  0.8604  0.5436
Pr  0.0586  0.3109  0.0072
Pr  0.2552  0.7448  0.5000
Pr  0.3109  0.0586  0.0072
Pr  0.4954  0.4954  0.2672
Pr  0.5046  0.5046  0.7328
Pr  0.6891  0.9414  0.9928
Pr  0.7448  0.2552  0.5000
Pr  0.9414  0.6891  0.9928
In  0.3100  0.6900  0.0000
In  0.6900  0.3100  0.0000



[16]
Entry from the Alexandria database: LaPr5In5 after structural relaxation (PBE).

Its symmetry is No. 12. For the energy of formation, the calculation gives -0.23 eV/atom. The calculation puts the volume at 32.60 Å³/atom.

Lattice parameters (Å, degrees): 9.3444 9.3444 6.6967 90.31 90.31 37.83
Atoms (fractional coordinates):
La  0.0000  0.0000  0.0000
Pr  0.0000  0.0000  0.5000
Pr  0.3219  0.3219  0.0036
Pr  0.3437  0.3437  0.5039
Pr  0.6563  0.6563  0.4961
Pr  0.6781  0.6781  0.9964
In  0.1651  0.1651  0.2647
In  0.1652  0.1652  0.7345
In  0.5000  0.5000  0.0000
In  0.8348  0.8348  0.2655
In  0.8349  0.8349  0.7353



[17]
Entry from the Alexandria database: LaPr12In6 after structural relaxation (PBE).

Its symmetry is No. 148. For the energy of formation, the calculation gives -0.24 eV/atom. The calculation puts the volume at 32.14 Å³/atom.

Lattice parameters (Å, degrees): 8.4848 8.4848 8.4848 89.34 89.34 89.34
Atoms (fractional coordinates):
La  0.0000  0.0000  0.0000
Pr  0.0750  0.3860  0.1241
Pr  0.1241  0.0750  0.3860
Pr  0.1917  0.5693  0.4700
Pr  0.3860  0.1241  0.0750
Pr  0.4307  0.5300  0.8083
Pr  0.4700  0.1917  0.5693
Pr  0.5300  0.8083  0.4307
Pr  0.5693  0.4700  0.1917
Pr  0.6140  0.8759  0.9250
Pr  0.8083  0.4307  0.5300
Pr  0.8759  0.9250  0.6140
Pr  0.9250  0.6140  0.8759
In  0.1214  0.2779  0.7404
In  0.2596  0.8786  0.7221
In  0.2779  0.7404  0.1214
In  0.7221  0.2596  0.8786
In  0.7404  0.1214  0.2779
In  0.8786  0.7221  0.2596



[18]
Entry from the Alexandria database: La3Pr12In after structural relaxation (PBE).

Its symmetry is No. 123. For the energy of formation, the calculation gives -0.05 eV/atom. The calculation puts the volume at 35.21 Å³/atom.

Lattice parameters (Å, degrees): 5.1691 5.1691 21.0837 90.00 90.00 90.00
Atoms (fractional coordinates):
La  0.0000  0.0000  0.0000
La  0.0000  0.0000  0.2532
La  0.0000  0.0000  0.7468
Pr  0.0000  0.5000  0.1270
Pr  0.0000  0.5000  0.3815
Pr  0.0000  0.5000  0.6185
Pr  0.0000  0.5000  0.8730
Pr  0.5000  0.0000  0.1270
Pr  0.5000  0.0000  0.3815
Pr  0.5000  0.0000  0.6185
Pr  0.5000  0.0000  0.8730
Pr  0.5000  0.5000  0.0000
Pr  0.5000  0.5000  0.2557
Pr  0.5000  0.5000  0.5000
Pr  0.5000  0.5000  0.7443
In  0.0000  0.0000  0.5000



[19]
Entry from the Alexandria database: La3PrIn2 after structural relaxation (PBE).

Its symmetry is No. 12. For the energy of formation, the calculation gives -0.28 eV/atom. The calculation puts the volume at 31.98 Å³/atom. As for the excess energy over the best structure of this formula in the dataset: 8.3 kJ per mole of atoms.

Lattice parameters (Å, degrees): 9.9249 9.9249 8.6869 112.97 112.97 29.35
Atoms (fractional coordinates):
La  0.0648  0.0648  0.1825
La  0.3010  0.3010  0.5299
La  0.3798  0.3798  0.9771
La  0.6202  0.6202  0.0229
La  0.6990  0.6990  0.4701
La  0.9352  0.9352  0.8175
Pr  0.1148  0.1148  0.6796
Pr  0.8852  0.8852  0.3204
In  0.2423  0.2423  0.1228
In  0.4853  0.4853  0.6482
In  0.5147  0.5147  0.3518
In  0.7577  0.7577  0.8772



[20]
Entry from the Alexandria database: LaPrIn4 after structural relaxation (PBE).

Its symmetry is No. 44. For the energy of formation, the calculation gives -0.50 eV/atom. The calculation puts the volume at 28.26 Å³/atom. As for the excess energy over the best structure of this formula in the dataset: 0.0 kJ per mole of atoms.

Lattice parameters (Å, degrees): 6.4589 6.4589 6.4589 136.42 107.25 88.80
Atoms (fractional coordinates):
La  0.0000  0.0000  0.0000
Pr  0.6174  0.1174  0.5000
In  0.0157  0.7170  0.2987
In  0.1972  0.3976  0.7996
In  0.4183  0.7170  0.7013
In  0.5980  0.3976  0.2004



Across the entries above, E takes the values -27.7; -48.9; -52.6; -29.2; -42.2; -31.5; -88.1; -52.5; -29.7; -27.8; -23.4; -60.6; -17.2; -55.8; -53.4; -45.0; -83.2; -75.7; -53.5; -23.7 eV for the cell shown, respectively.